No. 1
{"formula": "CaBiPdPt", "functional": "GGA-PBE", "state": "relaxed", "cell": [[0.0000, 3.4787, 3.4787], [3.4787, 0.0000, 3.4787], [3.4787, 3.4787, 0.0000]], "species": ["Ca", "Bi", "Pd", "Pt"], "frac_coords": [[0.0000, 0.0000, 0.0000], [0.5000, 0.5000, 0.5000], [0.2500, 0.2500, 0.2500], [0.7500, 0.7500, 0.7500]], "m_tot_mub_per_fu": 0.00, "dft_energy_ev_per_fu": -19.456, "crystal_system": "cubic", "ef_ev_per_fu": -2.34, "space_group": "F-43m"}

---

No. 2
{"formula": "CaPuBiPd", "functional": "GGA-PBE", "state": "relaxed", "cell": [[0.0000, 3.7418, 3.7418], [3.7418, 0.0000, 3.7418], [3.7418, 3.7418, 0.0000]], "species": ["Ca", "Pu", "Bi", "Pd"], "frac_coords": [[0.0000, 0.0000, 0.0000], [0.5000, 0.5000, 0.5000], [0.7500, 0.7500, 0.7500], [0.2500, 0.2500, 0.2500]], "m_tot_mub_per_fu": 5.56, "dft_energy_ev_per_fu": -27.289, "crystal_system": "cubic", "ef_ev_per_fu": -1.88, "space_group": "F-43m"}

---

No. 3
{"formula": "Ca2BiSbPd6", "functional": "GGA-PBE", "state": "relaxed", "cell": [[5.6011, 0.0000, 0.0000], [2.7876, 6.0312, 0.0000], [2.7921, 0.9162, 6.1055]], "species": ["Ca", "Ca", "Bi", "Sb", "Pd", "Pd", "Pd", "Pd", "Pd", "Pd"], "frac_coords": [[0.0042, 0.2457, 0.2465], [0.9958, 0.7543, 0.7535], [0.5000, 0.5000, 0.0000], [0.5000, 0.0000, 0.5000], [0.0082, 0.1816, 0.8052], [0.3089, 0.4405, 0.4445], [0.4946, 0.8194, 0.1943], [0.5054, 0.1806, 0.8057], [0.6911, 0.5595, 0.5555], [0.9918, 0.8184, 0.1948]], "m_tot_mub_per_fu": 0.00, "raw_formation_energy_mev_per_atom": -534, "dft_energy_ev_per_fu": -48.505, "crystal_system": "triclinic", "space_group": "P-1"}

---

No. 4
{"formula": "Ca2BiSb3Pd4", "functional": "GGA-PBE", "state": "relaxed", "cell": [[4.6504, 0.0000, 0.0000], [0.0000, 4.6504, 0.0000], [0.0000, 0.0000, 10.9504]], "species": ["Ca", "Ca", "Bi", "Sb", "Sb", "Sb", "Pd", "Pd", "Pd", "Pd"], "frac_coords": [[0.0000, 0.5000, 0.2268], [0.5000, 0.0000, 0.7732], [0.0000, 0.0000, 0.5000], [0.0000, 0.5000, 0.8754], [0.5000, 0.0000, 0.1246], [0.5000, 0.5000, 0.5000], [0.0000, 0.0000, 0.0000], [0.0000, 0.5000, 0.6396], [0.5000, 0.0000, 0.3604], [0.5000, 0.5000, 0.0000]], "m_tot_mub_per_fu": 0.00, "raw_formation_energy_mev_per_atom": -674, "dft_energy_ev_per_fu": -47.762, "crystal_system": "tetragonal", "space_group": "P-4m2"}